Computed, not measured: a relaxed structure of Nd3HgCl at the GGA-PBE level of DFT.

Values from the calculation:
ρ, Mg/m³: 7.6
Uncorrected formation energy, meV per atom: -754
N(E_F), states/eV/f.u.: 5.16
Total moment, Bohr magnetons per cell: 0.000

Unit cell a=9.461 b=4.061 c=15.237 alpha=90.00 beta=90.00 gamma=90.00
Space group Pnma (No. 62)
Unique sites:
Nd (0.016, 0.250, 0.105) x4
Nd (0.156, 0.250, 0.534) x4
Nd (0.169, 0.750, 0.287) x4
Hg (0.101, 0.750, 0.692) x4
Cl (0.183, 0.250, 0.946) x4